## Cr3TcSe (PBE)

Data for a geometry-optimized Cr3TcSe structure.

Values from the calculation:
Formation energy (no corrections) = 1.1894 eV/atom
Crystal system = cubic
E above lowest polymorph = 0 meV/atom
SG = No. 221
Total energy = -7.355 eV per atom
Spin magnetization = 9.815 μB/f.u.

The structure in POSCAR format:
```
Cr3TcSe
1.0
4.698 0.000 0.000
0.000 4.698 0.000
0.000 0.000 4.698
Cr Tc Se
3 1 1
Cartesian
0.000 0.000 2.349
0.000 2.349 0.000
2.349 0.000 0.000
0.000 0.000 0.000
2.349 2.349 2.349
```